Density functional theory data (PBE-GGA) for crystalline La2OsPtS at its relaxed geometry.

abc: 5.5083 4.2264 5.5083
angles: 90.00 90.00 90.00
Last column: nearest neighbours and their distance in Å.
Atoms (fractional coordinates):
Pt: 0.5000 0.5000 0.5000  8 La 3.47
La: 0.5000 0.0000 0.0000  2 S 2.75
La: 0.0000 0.0000 0.5000  2 S 2.75
Os: 0.0000 0.5000 0.0000  2 S 2.11
S: 0.0000 0.0000 0.0000  2 Os 2.11

Results
E_form (uncorrected) ... -0.481 eV per atom